# 1
An optimized crystal structure of PmHgF. Source: Alexandria, functional PBE.

Cell: 3.7568 3.7568 9.0614 Å, 101.94 101.94 90.00°
Fractional coordinates of all 6 atoms:
F (0.0000, 0.5000, 0.0000)
Pm (0.0977, 0.0977, 0.1951)
Hg (0.2991, 0.2991, 0.5984)
Hg (0.7009, 0.7009, 0.4016)
Pm (0.9023, 0.9023, 0.8049)
F (0.5000, 0.0000, 0.0000)

- total moment (μB per atom) = 0.00
- DOS(E_F) (states/eV per cell) = 1.7
- polymorph energy (0 for the lowest one) (kJ/mol of atoms) = 0.0
- calculated density (g/cm³) = 9.901
- formation energy from raw total energies (eV per formula unit) = -5.7
- space-group type = I4/mmm

***

# 2
An optimized crystal structure of Pm2HgF. Source: Alexandria, functional PBE.

Cell: 3.3647 3.3647 8.0174 Å, 90.00 90.00 90.00°
Fractional coordinates of all 4 atoms:
Pm (0.0000, 0.0000, 0.2322)
Hg (0.5000, 0.5000, 0.5000)
F (0.5000, 0.5000, 0.0000)
Pm (0.0000, 0.0000, 0.7678)

- total moment (μB per atom) = 0.00
- DOS(E_F) (states/eV per cell) = 3.2
- polymorph energy (0 for the lowest one) (kJ/mol of atoms) = 20.6
- calculated density (g/cm³) = 9.323
- formation energy from raw total energies (eV per formula unit) = -4.4
- space-group type = P4/mmm